(1)
Crystalline Li5Ga6Os at its relaxed geometry. Source: Alexandria via LeMat-Bulk, functional GGA-PBE.

Cell: 4.4891 5.8518 6.9367 Å, 90.00 73.44 90.00°
Last column: nearest neighbours and their distance in Å.
Positions (direct):
Os: 0.0000 0.0000 0.0000  8 Ga 2.64-2.70, 2 Li 2.93
Ga: 0.8756 0.7542 0.3325  7 Li 2.60-2.76, 1 Os 2.64, 2 Ga 2.85-2.88
Ga: 0.8756 0.2458 0.3325  7 Li 2.60-2.76, 1 Os 2.64, 2 Ga 2.85-2.88
Ga: 0.5000 0.2552 0.0000  6 Li 2.61-2.76, 2 Os 2.70, 1 Ga 2.87
Ga: 0.5000 0.7448 0.0000  6 Li 2.61-2.76, 2 Os 2.70, 1 Ga 2.87
Ga: 0.1244 0.7542 0.6675  7 Li 2.60-2.76, 1 Os 2.64, 2 Ga 2.85-2.88
Ga: 0.1244 0.2458 0.6675  7 Li 2.60-2.76, 1 Os 2.64, 2 Ga 2.85-2.88
Li: 0.6389 0.5000 0.6458  8 Ga 2.60-2.76, 1 Li 2.66
Li: 0.3840 0.0000 0.3208  8 Ga 2.61-2.76
Li: 0.0000 0.5000 0.0000  8 Ga 2.66-2.67, 2 Os 2.93
Li: 0.6160 0.0000 0.6792  8 Ga 2.61-2.76
Li: 0.3611 0.5000 0.3542  8 Ga 2.60-2.76, 1 Li 2.66

Results
Total energy = -41.97 eV per cell
ρ = 6.1 g cm⁻³
Formation energy from the elements = -250.7 meV per atom

(2)
Crystalline Li2Ga4Os at its relaxed geometry. Source: Alexandria via LeMat-Bulk, functional GGA-PBE.

Cell: 4.7571 4.7571 7.5711 Å, 71.69 71.69 90.00°
Last column: nearest neighbours and their distance in Å.
Positions (direct):
Os: 0.0000 0.0000 0.0000  6 Ga 2.38-2.50
Ga: 0.1841 0.1841 0.6318  1 Os 2.50, 1 Li 2.64
Ga: 0.8159 0.8159 0.3682  1 Os 2.50, 1 Li 2.64
Ga: 0.0000 0.5000 0.0000  2 Os 2.38
Ga: 0.5000 0.0000 0.0000  2 Os 2.38
Li: 0.3786 0.3786 0.2429  5 Ga 2.64-2.89
Li: 0.6214 0.6214 0.7571  5 Ga 2.64-2.89

Results
Total energy = -27.19 eV per cell
ρ = 5.2 g cm⁻³
Formation energy from the elements = -2.9 meV per atom

(3)
Crystalline Li2Ga8Os at its relaxed geometry. Source: Alexandria via LeMat-Bulk, functional GGA-PBE.

Cell: 4.0797 5.5505 9.7866 Å, 116.63 102.03 90.00°
Last column: nearest neighbours and their distance in Å.
Positions (direct):
Li: 0.7954 0.1913 0.5908  9 Ga 2.76-2.95, 2 Li 2.88
Li: 0.2046 0.8087 0.4092  9 Ga 2.76-2.95, 2 Li 2.88
Ga: 0.3726 0.5519 0.7452  1 Os 2.56, 5 Ga 2.70-2.85, 2 Li 2.76
Ga: 0.6221 0.9258 0.2441  1 Os 2.55, 4 Ga 2.70-2.85, 2 Li 2.83
Ga: 0.7945 0.6896 0.5889  4 Li 2.77-2.93, 7 Ga 2.83-2.86
Ga: 0.0043 0.2780 0.0087  2 Os 2.54, 1 Ga 2.54
Ga: 0.2055 0.3104 0.4111  4 Li 2.77-2.93, 7 Ga 2.83-2.86
Ga: 0.3779 0.0742 0.7559  1 Os 2.55, 4 Ga 2.70-2.85, 2 Li 2.83
Ga: 0.6274 0.4481 0.2548  1 Os 2.56, 5 Ga 2.70-2.85, 2 Li 2.76
Ga: 0.9957 0.7220 0.9913  2 Os 2.54, 1 Ga 2.54
Os: 0.5000 0.0000 0.0000  8 Ga 2.54-2.56

Results
Total energy = -40.67 eV per cell
ρ = 6.6 g cm⁻³
Formation energy from the elements = -127.2 meV per atom

(4)
Crystalline Li12Ga6Os at its relaxed geometry. Source: Alexandria via LeMat-Bulk, functional GGA-PBE.

Cell: 6.7985 6.7985 6.7985 Å, 88.54 88.54 88.54°
Last column: nearest neighbours and their distance in Å.
Positions (direct):
Li: 0.4828 0.1918 0.5652  4 Ga 2.73-2.88, 5 Li 2.78-2.97
Li: 0.1918 0.5652 0.4828  4 Ga 2.73-2.88, 5 Li 2.78-2.97
Li: 0.5652 0.4828 0.1918  4 Ga 2.73-2.88, 5 Li 2.78-2.97
Li: 0.5172 0.8082 0.4348  4 Ga 2.73-2.88, 5 Li 2.78-2.97
Li: 0.8082 0.4348 0.5172  4 Ga 2.73-2.88, 5 Li 2.78-2.97
Li: 0.4348 0.5172 0.8082  4 Ga 2.73-2.88, 5 Li 2.78-2.97
Li: 0.8535 0.9625 0.6292  5 Li 2.67-2.97, 1 Os 2.75, 5 Ga 2.79-2.98
Li: 0.3708 0.1465 0.0375  5 Li 2.67-2.97, 1 Os 2.75, 5 Ga 2.79-2.98
Li: 0.0375 0.3708 0.1465  5 Li 2.67-2.97, 1 Os 2.75, 5 Ga 2.79-2.98
Li: 0.1465 0.0375 0.3708  5 Li 2.67-2.97, 1 Os 2.75, 5 Ga 2.79-2.98
Li: 0.6292 0.8535 0.9625  5 Li 2.67-2.97, 1 Os 2.75, 5 Ga 2.79-2.98
Li: 0.9625 0.6292 0.8535  5 Li 2.67-2.97, 1 Os 2.75, 5 Ga 2.79-2.98
Ga: 0.1131 0.2624 0.7412  1 Os 2.59, 2 Ga 2.72, 8 Li 2.73-2.90
Ga: 0.7376 0.2588 0.8869  1 Os 2.59, 2 Ga 2.72, 8 Li 2.73-2.90
Ga: 0.2588 0.8869 0.7376  1 Os 2.59, 2 Ga 2.72, 8 Li 2.73-2.90
Ga: 0.8869 0.7376 0.2588  1 Os 2.59, 2 Ga 2.72, 8 Li 2.73-2.90
Ga: 0.2624 0.7412 0.1131  1 Os 2.59, 2 Ga 2.72, 8 Li 2.73-2.90
Ga: 0.7412 0.1131 0.2624  1 Os 2.59, 2 Ga 2.72, 8 Li 2.73-2.90
Os: 0.0000 0.0000 0.0000  6 Ga 2.59, 6 Li 2.75

Results
Total energy = -56.53 eV per cell
ρ = 3.7 g cm⁻³
Formation energy from the elements = -219.9 meV per atom

(5)
Crystalline LiPaGaOs at its relaxed geometry. Source: Alexandria via LeMat-Bulk, functional GGA-PBE.

Cell: 4.6287 4.6287 4.6287 Å, 60.00 60.00 60.00°
Last column: nearest neighbours and their distance in Å.
Positions (direct):
Pa: 0.7500 0.7500 0.7500  4 Li 2.83, 4 Os 2.83
Os: 0.0000 0.0000 0.0000  4 Ga 2.83, 4 Pa 2.83
Ga: 0.2500 0.2500 0.2500  4 Li 2.83, 4 Os 2.83
Li: 0.5000 0.5000 0.5000  4 Pa 2.83, 4 Ga 2.83

Results
Total energy = -26.44 eV per cell
ρ = 11.8 g cm⁻³
Formation energy from the elements = -193.9 meV per atom

(6)
Crystalline RbLi2GaOs at its relaxed geometry. Source: Alexandria via LeMat-Bulk, functional GGA-PBE.

Cell: 4.3001 5.4973 4.3001 Å, 90.00 90.00 90.00°
Last column: nearest neighbours and their distance in Å.
Positions (direct):
Os: 0.5000 0.5000 0.5000  4 Ga 3.04
Ga: 0.0000 0.5000 0.0000  2 Rb 2.75, 4 Os 3.04
Rb: 0.0000 0.0000 0.0000  4 Li 2.15
Li: 0.0000 0.0000 0.5000  2 Rb 2.15
Li: 0.5000 0.0000 0.0000  2 Rb 2.15

Results
Total energy = -10.41 eV per cell
ρ = 5.9 g cm⁻³
Formation energy from the elements = 1728.4 meV per atom

(7)
Crystalline LiGaReOs2 at its relaxed geometry. Source: Alexandria via LeMat-Bulk, functional GGA-PBE.

Cell: 4.5489 4.5943 4.5489 Å, 90.00 90.00 90.00°
Last column: nearest neighbours and their distance in Å.
Positions (direct):
Re: 0.0000 0.5000 0.0000  2 Ga 2.30
Os: 0.0000 0.0000 0.5000  2 Ga 2.27
Os: 0.5000 0.0000 0.0000  2 Ga 2.27
Ga: 0.0000 0.0000 0.0000  4 Os 2.27, 2 Re 2.30
Li: 0.5000 0.5000 0.5000  4 Re 3.22, 8 Os 3.23

Results
Total energy = -30.20 eV per cell
ρ = 11.2 g cm⁻³
Formation energy from the elements = 1929.0 meV per atom

(8)
Crystalline LiGa2OsRu at its relaxed geometry. Source: Alexandria via LeMat-Bulk, functional GGA-PBE.

Cell: 4.2292 4.0642 4.2292 Å, 90.00 90.00 90.00°
Last column: nearest neighbours and their distance in Å.
Positions (direct):
Ru: 0.0000 0.5000 0.0000  2 Li 2.03
Os: 0.5000 0.5000 0.5000  8 Ga 2.93, 4 Ru 2.99
Ga: 0.0000 0.0000 0.5000  2 Li 2.11
Ga: 0.5000 0.0000 0.0000  2 Li 2.11
Li: 0.0000 0.0000 0.0000  2 Ru 2.03, 4 Ga 2.11

Results
Total energy = -23.88 eV per cell
ρ = 10.0 g cm⁻³
Energy relative to the lowest polymorph listed for this composition = 0.0 meV per atom
Formation energy from the elements = 918.5 meV per atom

Among the records above, which one has the lowest formation energy from the elements?
Li5Ga6Os

What is the total energy in the eighth record?
-23.88 eV per cell

Which of these has the lowest ρ?
Li12Ga6Os

Number 4 is which compound?
Li12Ga6Os